The following is a DFT calculation (PBE) of crystalline Tb2ErPaAs4 at its relaxed geometry.

abc: 4.1158 7.1008 7.1166
angles: 109.48 90.00 90.00
Element x y z (fractional)
Tb  0.5000  0.0000  0.5000
Tb  0.0000  0.5000  0.5000
Er  0.0000  0.0000  0.0000
Pa  0.5000  0.5000  0.0000
As  0.5000  0.2503  0.2446
As  0.5000  0.7497  0.7554
As  0.0000  0.2516  0.7541
As  0.0000  0.7484  0.2459

## Properties
Its energy of formation is -1.417 eV per atom. The size of the total moment comes out at 0.000 μB per atom.